Entry from Alexandria via LeMat-Bulk: crystalline PaMnFe2O6 at its relaxed geometry (PBE with a Hubbard U). Values from VASP.

Values from the calculation:
Its space group is No. 1. The total energy comes out at -7.788 eV per atom.

Quantum ESPRESSO input file:
```
&SYSTEM
  ibrav = 0, nat = 10, ntyp = 4
/
ATOMIC_SPECIES
Pa 231.04 Pa.upf
Mn 54.94 Mn.upf
Fe 55.84 Fe.upf
O 16.00 O.upf
ATOMIC_POSITIONS angstrom
Pa -0.458 -1.716 -2.592
Mn -1.827 -6.816 -6.637
Fe -1.297 -4.809 -4.321
Fe -1.404 -5.294 -0.103
O -2.009 -3.109 -3.426
O 0.700 -4.439 -4.593
O -2.081 -4.857 -6.288
O -0.992 -6.949 -4.522
O -3.255 -5.545 -3.411
O -0.513 -5.579 -1.991
CELL_PARAMETERS angstrom
-3.175 -1.627 -4.174
1.944 -3.043 -3.943
-1.475 -5.452 -0.009
```